# 1
# GGA-PBE Al5Tc3, optimized geometry
# Volume = 14.95 Å³ per atom
# D(E_F) = 0.80 states/eV per atom
# E above lowest polymorph = 186 meV/atom
# DFT formation energy = -1.252 eV/f.u.
data_Al5Tc3
_space_group_name_H-M_alt 'C 1 2 1'
_space_group_IT_number 5
_space_group_name_Hall 'C 2y'
_cell_length_a 4.930
_cell_length_b 14.004
_cell_length_c 7.347
_cell_angle_alpha 90.00
_cell_angle_beta 109.41
_cell_angle_gamma 90.00
loop_
_atom_site_label
_atom_site_type_symbol
_atom_site_fract_x
_atom_site_fract_y
_atom_site_fract_z
Al1 Al 0.097 0.000 0.195
Al2 Al 0.097 0.328 0.195
Al3 Al 0.162 0.567 0.330
Al4 Al 0.162 0.761 0.330
Al5 Al 0.250 0.164 0.000
Tc1 Tc 0.000 0.413 0.500
Tc2 Tc 0.000 0.485 0.000
Tc3 Tc 0.000 0.844 0.000
Tc4 Tc 0.000 0.915 0.500
Tc5 Tc 0.174 0.164 0.357

# 2
# GGA-PBE NaCu3Ag4Cl12, optimized geometry
# Volume = 23.30 Å³ per atom
# D(E_F) = 0.61 states/eV per atom
# Formation energy from raw total energies = -12.60 kcal/mol of atoms
data_NaCu3Ag4Cl12
_space_group_name_H-M_alt 'I m -3'
_space_group_IT_number 204
_space_group_name_Hall '-I 2 2 3'
_cell_length_a 9.768
_cell_length_b 9.768
_cell_length_c 9.768
_cell_angle_alpha 90.00
_cell_angle_beta 90.00
_cell_angle_gamma 90.00
loop_
_atom_site_label
_atom_site_type_symbol
_atom_site_fract_x
_atom_site_fract_y
_atom_site_fract_z
Na1 Na 0.000 0.000 0.000
Cu1 Cu 0.000 0.000 0.500
Ag1 Ag 0.250 0.250 0.250
Cl1 Cl 0.000 0.328 0.162

# 3
# GGA-PBE Mg5Cd2Ag, optimized geometry
# Volume = 21.02 Å³ per atom
# D(E_F) = 0.34 states/eV per atom
# E above lowest polymorph = 0 meV/atom
# DFT formation energy = -0.680 eV/f.u.
data_Mg5Cd2Ag
_space_group_name_H-M_alt 'I 4/m m m'
_space_group_IT_number 139
_space_group_name_Hall '-I 4 2'
_cell_length_a 4.330
_cell_length_b 4.330
_cell_length_c 17.936
_cell_angle_alpha 90.00
_cell_angle_beta 90.00
_cell_angle_gamma 90.00
loop_
_atom_site_label
_atom_site_type_symbol
_atom_site_fract_x
_atom_site_fract_y
_atom_site_fract_z
Mg1 Mg 0.000 0.000 0.000
Mg2 Mg 0.000 0.500 0.122
Cd1 Cd 0.000 0.000 0.248
Ag1 Ag 0.000 0.000 0.500

# 4
# GGA-PBE Hf6Al2Sn, optimized geometry
# Volume = 21.13 Å³ per atom
# D(E_F) = 0.99 states/eV per atom
# DFT formation energy = -1.939 eV/f.u.
data_Hf6Al2Sn
_space_group_name_H-M_alt 'I m m m'
_space_group_IT_number 71
_space_group_name_Hall '-I 2 2'
_cell_length_a 8.436
_cell_length_b 8.819
_cell_length_c 10.223
_cell_angle_alpha 90.00
_cell_angle_beta 90.00
_cell_angle_gamma 90.00
loop_
_atom_site_label
_atom_site_type_symbol
_atom_site_fract_x
_atom_site_fract_y
_atom_site_fract_z
Hf1 Hf 0.000 0.212 0.179
Hf2 Hf 0.201 0.500 0.251
Hf3 Hf 0.202 0.209 0.500
Al1 Al 0.000 0.000 0.376
Al2 Al 0.154 0.000 0.000
Sn1 Sn 0.000 0.500 0.000
Sn2 Sn 0.000 0.500 0.500

# 5
# GGA-PBE SmU2Tl3Se6, optimized geometry
# Volume = 30.07 Å³ per atom
# D(E_F) = 0.80 states/eV per atom
# Formation energy from raw total energies = -23.91 kcal/mol of atoms
data_SmU2Tl3Se6
_space_group_name_H-M_alt 'C 1 2/m 1'
_space_group_IT_number 12
_space_group_name_Hall '-C 2y'
_cell_length_a 7.290
_cell_length_b 12.626
_cell_length_c 8.207
_cell_angle_alpha 90.00
_cell_angle_beta 107.22
_cell_angle_gamma 90.00
loop_
_atom_site_label
_atom_site_type_symbol
_atom_site_fract_x
_atom_site_fract_y
_atom_site_fract_z
Sm1 Sm 0.000 0.000 0.000
U1 U 0.000 0.333 0.000
Tl1 Tl 0.000 0.165 0.500
Tl2 Tl 0.000 0.500 0.500
Se1 Se 0.230 0.500 0.206
Se2 Se 0.238 0.169 0.207

# 6
# GGA-PBE NdGe2Se3, optimized geometry
# Volume = 31.96 Å³ per atom
# D(E_F) = 0.35 states/eV per atom
# Formation energy from raw total energies = -17.38 kcal/mol of atoms
data_NdGe2Se3
_space_group_name_H-M_alt 'P 1 21/m 1'
_space_group_IT_number 11
_space_group_name_Hall '-P 2yb'
_cell_length_a 8.498
_cell_length_b 4.094
_cell_length_c 11.755
_cell_angle_alpha 90.00
_cell_angle_beta 110.32
_cell_angle_gamma 90.00
loop_
_atom_site_label
_atom_site_type_symbol
_atom_site_fract_x
_atom_site_fract_y
_atom_site_fract_z
Nd1 Nd 0.205 0.250 0.189
Ge1 Ge 0.259 0.750 0.470
Ge2 Ge 0.473 0.750 0.054
Se1 Se 0.059 0.250 0.372
Se2 Se 0.167 0.750 0.992
Se3 Se 0.435 0.750 0.329

# 7
# GGA-PBE La2Dy3Se4, optimized geometry
# Volume = 27.38 Å³ per atom
# D(E_F) = 0.77 states/eV per atom
# Formation energy from raw total energies = -36.25 kcal/mol of atoms
data_La2Dy3Se4
_space_group_name_H-M_alt 'C 1 2/m 1'
_space_group_IT_number 12
_space_group_name_Hall '-C 2y'
_cell_length_a 21.406
_cell_length_b 4.039
_cell_length_c 5.932
_cell_angle_alpha 90.00
_cell_angle_beta 106.02
_cell_angle_gamma 90.00
loop_
_atom_site_label
_atom_site_type_symbol
_atom_site_fract_x
_atom_site_fract_y
_atom_site_fract_z
La1 La 0.092 0.000 0.094
Dy1 Dy 0.000 0.500 0.500
Dy2 Dy 0.198 0.500 0.698
Se1 Se 0.100 0.000 0.601
Se2 Se 0.202 0.500 0.203

# 8
# GGA-PBE Li4UO5, optimized geometry
# Volume = 10.26 Å³ per atom
# D(E_F) = 0.00 states/eV per atom
# Formation energy from raw total energies = -58.61 kcal/mol of atoms
data_Li4UO5
_space_group_name_H-M_alt 'I 4/m'
_space_group_IT_number 87
_space_group_name_Hall '-I 4'
_cell_length_a 6.784
_cell_length_b 6.784
_cell_length_c 4.459
_cell_angle_alpha 90.00
_cell_angle_beta 90.00
_cell_angle_gamma 90.00
loop_
_atom_site_label
_atom_site_type_symbol
_atom_site_fract_x
_atom_site_fract_y
_atom_site_fract_z
Li1 Li 0.083 0.314 0.000
U1 U 0.000 0.000 0.500
O1 O 0.000 0.000 0.000
O2 O 0.087 0.287 0.500

# 9
# GGA-PBE K3Ge2Pt4, optimized geometry
# Volume = 25.17 Å³ per atom
# D(E_F) = 0.32 states/eV per atom
# DFT formation energy = -3.211 eV/f.u.
data_K3Ge2Pt4
_space_group_name_H-M_alt 'C 1 2/m 1'
_space_group_IT_number 12
_space_group_name_Hall '-C 2y'
_cell_length_a 12.537
_cell_length_b 4.136
_cell_length_c 9.313
_cell_angle_alpha 90.00
_cell_angle_beta 110.22
_cell_angle_gamma 90.00
loop_
_atom_site_label
_atom_site_type_symbol
_atom_site_fract_x
_atom_site_fract_y
_atom_site_fract_z
K1 K 0.000 0.000 0.000
K2 K 0.129 0.500 0.373
Ge1 Ge 0.173 0.500 0.780
Pt1 Pt 0.086 0.000 0.631
Pt2 Pt 0.237 0.500 0.086

# 10
# GGA-PBE TlI3N, optimized geometry
# Volume = 45.57 Å³ per atom
# D(E_F) = 0.91 states/eV per atom
# E above lowest polymorph = 409 meV/atom
# Formation energy from raw total energies = 22.61 kcal/mol of atoms
data_TlI3N
_space_group_name_H-M_alt 'P m -3 m'
_space_group_IT_number 221
_space_group_name_Hall '-P 4 2 3'
_cell_length_a 6.108
_cell_length_b 6.108
_cell_length_c 6.108
_cell_angle_alpha 90.00
_cell_angle_beta 90.00
_cell_angle_gamma 90.00
loop_
_atom_site_label
_atom_site_type_symbol
_atom_site_fract_x
_atom_site_fract_y
_atom_site_fract_z
Tl1 Tl 0.000 0.000 0.000
I1 I 0.000 0.000 0.500
N1 N 0.500 0.500 0.500

# 11
# GGA-PBE LiAs2Au, optimized geometry
# Volume = 17.96 Å³ per atom
# D(E_F) = 0.13 states/eV per atom
# E above lowest polymorph = 94 meV/atom
# DFT formation energy = -0.568 eV/f.u.
data_LiAs2Au
_space_group_name_H-M_alt 'C 1 2/m 1'
_space_group_IT_number 12
_space_group_name_Hall '-C 2y'
_cell_length_a 8.496
_cell_length_b 3.598
_cell_length_c 4.789
_cell_angle_alpha 90.00
_cell_angle_beta 101.12
_cell_angle_gamma 90.00
loop_
_atom_site_label
_atom_site_type_symbol
_atom_site_fract_x
_atom_site_fract_y
_atom_site_fract_z
Li1 Li 0.000 0.000 0.000
As1 As 0.246 0.000 0.789
Au1 Au 0.000 0.500 0.500

# 12
# GGA-PBE HfTiGe, optimized geometry
# Volume = 17.91 Å³ per atom
# D(E_F) = 0.34 states/eV per atom
# DFT formation energy = -1.309 eV/f.u.
data_HfTiGe
_space_group_name_H-M_alt 'I 4 m m'
_space_group_IT_number 107
_space_group_name_Hall 'I 4 -2'
_cell_length_a 3.421
_cell_length_b 3.421
_cell_length_c 9.179
_cell_angle_alpha 90.00
_cell_angle_beta 90.00
_cell_angle_gamma 90.00
loop_
_atom_site_label
_atom_site_type_symbol
_atom_site_fract_x
_atom_site_fract_y
_atom_site_fract_z
Hf1 Hf 0.000 0.000 0.000
Ti1 Ti 0.000 0.000 0.683
Ge1 Ge 0.000 0.000 0.326

Q: Which value of D(E_F) does entry 11 give?
A: 0.13 states/eV per atom

Q: What is the formula in the eleventh record?
A: LiAs2Au